Below is a relaxed structure of Zr2MoPt, with properties calculated at the GGA-PBE level.

a = 3.6785 Å, b = 3.6785 Å, c = 5.8057 Å
α = 90.00°, β = 90.00°, γ = 90.00°
Atoms (fractional coordinates):
Zr 0.0000 0.0000 0.0000
Zr 0.5000 0.5000 0.3362
Mo 0.0000 0.0000 0.4979
Pt 0.5000 0.5000 0.8250



Below is a relaxed structure of LaBeRu, with properties calculated at the GGA-PBE level.

a = 4.3533 Å, b = 4.3533 Å, c = 6.1673 Å
α = 90.00°, β = 90.00°, γ = 90.00°
Atoms (fractional coordinates):
La 0.2500 0.2500 0.1723
La 0.7500 0.7500 0.8277
Be 0.2500 0.2500 0.6331
Be 0.7500 0.7500 0.3669
Ru 0.2500 0.7500 0.5000
Ru 0.7500 0.2500 0.5000

Properties
Its excess energy over the best structure of this formula in the dataset is 0.00 eV/f.u.



Below is a relaxed structure of Zn2Sn2As, with properties calculated at the GGA-PBE level.

a = 8.6589 Å, b = 8.6589 Å, c = 8.6589 Å
α = 155.44°, β = 155.44°, γ = 35.01°
Atoms (fractional coordinates):
Zn 0.2500 0.7500 0.5000
Zn 0.7500 0.2500 0.5000
Sn 0.0979 0.0979 0.0000
Sn 0.9021 0.9021 0.0000
As 0.5000 0.5000 0.0000

Properties
Its excess energy over the best structure of this formula in the dataset is 0.11 eV/f.u.



| no. | final energy (eV/atom) | energy of formation from the pure elements (eV per atom) | Fermi-level density of states (states/eV/f.u.) |
| --- | --- | --- | --- |
| 1 | -8.74 | -0.251 | 3.18 |
| 2 | -6.26 | -0.282 | 2.50 |
| 3 | -2.89 | 0.149 | 1.85 |